(1)
# Ti3Bi4O12, single point on PBEsol structure, DFT meta-GGA SCAN
data_Ti3Bi4O12
_chemical_formula_sum 'Ti3 Bi4 O12'
_space_group_name_H-M_alt 'P 1'
_space_group_IT_number 1
_cell_length_a 3.831
_cell_length_b 3.831
_cell_length_c 16.583
_cell_angle_alpha 95.13
_cell_angle_beta 95.13
_cell_angle_gamma 89.12
loop_
_space_group_symop_operation_xyz
'x,y,z'
loop_
_atom_site_label
_atom_site_fract_x
_atom_site_fract_y
_atom_site_fract_z
Ti1 0.000 0.000 0.000
Ti2 0.118 0.118 0.257
Ti3 0.882 0.882 0.743
Bi1 0.260 0.260 0.577
Bi2 0.376 0.376 0.867
Bi3 0.624 0.624 0.133
Bi4 0.740 0.740 0.423
O1 0.000 0.500 0.000
O2 0.028 0.028 0.120
O3 0.076 0.594 0.233
O4 0.148 0.148 0.365
O5 0.252 0.748 0.500
O6 0.406 0.924 0.767
O7 0.500 0.000 0.000
O8 0.594 0.076 0.233
O9 0.748 0.252 0.500
O10 0.852 0.852 0.635
O11 0.924 0.406 0.767
O12 0.972 0.972 0.880
# Distance to the lowest polymorph of the same formula in kJ/mol of formula units: 62
# Raw total energy in eV/atom: -25.191
# Magnetic moment in μB per formula unit: 0.00

(2)
# Ti3Bi4O12, single point on PBEsol structure, DFT meta-GGA SCAN
data_Ti3Bi4O12
_chemical_formula_sum 'Ti6 Bi8 O24'
_space_group_name_H-M_alt 'P 1'
_space_group_IT_number 1
_cell_length_a 16.681
_cell_length_b 5.392
_cell_length_c 5.425
_cell_angle_alpha 90.00
_cell_angle_beta 99.36
_cell_angle_gamma 90.00
loop_
_space_group_symop_operation_xyz
'x,y,z'
loop_
_atom_site_label
_atom_site_fract_x
_atom_site_fract_y
_atom_site_fract_z
Ti1 0.000 0.246 0.000
Ti2 0.000 0.754 0.500
Ti3 0.253 0.246 0.117
Ti4 0.253 0.754 0.617
Ti5 0.741 0.249 0.864
Ti6 0.741 0.751 0.364
Bi1 0.128 0.254 0.599
Bi2 0.128 0.746 0.099
Bi3 0.417 0.271 0.766
Bi4 0.417 0.729 0.266
Bi5 0.572 0.230 0.339
Bi6 0.572 0.770 0.839
Bi7 0.864 0.253 0.469
Bi8 0.864 0.747 0.969
O1 0.020 0.466 0.264
O2 0.020 0.534 0.764
O3 0.117 0.175 0.012
O4 0.117 0.825 0.512
O5 0.217 0.468 0.361
O6 0.217 0.532 0.861
O7 0.248 0.054 0.798
O8 0.248 0.946 0.298
O9 0.358 0.312 0.165
O10 0.358 0.688 0.665
O11 0.494 0.006 0.035
O12 0.494 0.994 0.535
O13 0.498 0.494 0.537
O14 0.498 0.506 0.037
O15 0.636 0.193 0.809
O16 0.636 0.807 0.309
O17 0.752 0.461 0.569
O18 0.752 0.539 0.069
O19 0.778 0.020 0.138
O20 0.778 0.980 0.638
O21 0.884 0.316 0.898
O22 0.884 0.684 0.398
O23 0.985 0.044 0.672
O24 0.985 0.956 0.172
# Distance to the lowest polymorph of the same formula in kJ/mol of formula units: 0
# Raw total energy in eV/atom: -25.225
# Magnetic moment in μB per formula unit: 0.00

(3)
# TiBi2O5, single point on PBEsol structure, DFT meta-GGA SCAN
data_TiBi2O5
_chemical_formula_sum 'Ti2 Bi4 O10'
_space_group_name_H-M_alt 'P 1'
_space_group_IT_number 1
_cell_length_a 8.325
_cell_length_b 8.325
_cell_length_c 5.474
_cell_angle_alpha 90.00
_cell_angle_beta 90.00
_cell_angle_gamma 39.06
loop_
_space_group_symop_operation_xyz
'x,y,z'
loop_
_atom_site_label
_atom_site_fract_x
_atom_site_fract_y
_atom_site_fract_z
Ti1 0.188 0.812 0.500
Ti2 0.812 0.188 0.000
Bi1 0.116 0.545 0.024
Bi2 0.455 0.884 0.024
Bi3 0.545 0.116 0.524
Bi4 0.884 0.455 0.524
O1 0.097 0.903 0.827
O2 0.236 0.260 0.753
O3 0.249 0.559 0.423
O4 0.260 0.236 0.253
O5 0.441 0.751 0.423
O6 0.559 0.249 0.923
O7 0.740 0.764 0.753
O8 0.751 0.441 0.923
O9 0.764 0.740 0.253
O10 0.903 0.097 0.327
# Distance to the lowest polymorph of the same formula in kJ/mol of formula units: 0
# Raw total energy in eV/atom: -27.514
# Magnetic moment in μB per formula unit: 0.00

(4)
# TiBi3O, single point on PBEsol structure, DFT meta-GGA SCAN
data_TiBi3O
_chemical_formula_sum 'Ti1 Bi3 O1'
_space_group_name_H-M_alt 'P 1'
_space_group_IT_number 1
_cell_length_a 4.822
_cell_length_b 4.822
_cell_length_c 4.822
_cell_angle_alpha 90.00
_cell_angle_beta 90.00
_cell_angle_gamma 90.00
loop_
_space_group_symop_operation_xyz
'x,y,z'
loop_
_atom_site_label
_atom_site_fract_x
_atom_site_fract_y
_atom_site_fract_z
Ti1 0.000 0.000 0.000
Bi1 0.000 0.500 0.500
Bi2 0.500 0.000 0.500
Bi3 0.500 0.500 0.000
O1 0.500 0.500 0.500
# Raw total energy in eV/atom: -51.574
# Magnetic moment in μB per formula unit: 1.66

(5)
# TiBi2O5, single point on PBEsol structure, DFT meta-GGA SCAN
data_TiBi2O5
_chemical_formula_sum 'Ti4 Bi8 O20'
_space_group_name_H-M_alt 'P 1'
_space_group_IT_number 1
_cell_length_a 11.093
_cell_length_b 3.894
_cell_length_c 11.022
_cell_angle_alpha 90.00
_cell_angle_beta 90.00
_cell_angle_gamma 90.00
loop_
_space_group_symop_operation_xyz
'x,y,z'
loop_
_atom_site_label
_atom_site_fract_x
_atom_site_fract_y
_atom_site_fract_z
Ti1 0.205 0.250 0.130
Ti2 0.295 0.750 0.630
Ti3 0.705 0.250 0.370
Ti4 0.795 0.750 0.870
Bi1 0.090 0.250 0.782
Bi2 0.135 0.250 0.441
Bi3 0.365 0.750 0.941
Bi4 0.410 0.750 0.282
Bi5 0.590 0.250 0.718
Bi6 0.635 0.250 0.059
Bi7 0.865 0.750 0.559
Bi8 0.910 0.750 0.218
O1 0.002 0.250 0.600
O2 0.053 0.250 0.178
O3 0.198 0.750 0.770
O4 0.243 0.250 0.963
O5 0.248 0.250 0.626
O6 0.252 0.750 0.126
O7 0.257 0.750 0.463
O8 0.302 0.250 0.270
O9 0.447 0.750 0.678
O10 0.498 0.750 0.100
O11 0.502 0.250 0.900
O12 0.553 0.250 0.322
O13 0.698 0.750 0.730
O14 0.743 0.250 0.537
O15 0.748 0.250 0.874
O16 0.752 0.750 0.374
O17 0.757 0.750 0.037
O18 0.802 0.250 0.230
O19 0.947 0.750 0.822
O20 0.998 0.750 0.400
# Distance to the lowest polymorph of the same formula in kJ/mol of formula units: 13
# Raw total energy in eV/atom: -27.497
# Magnetic moment in μB per formula unit: 0.00

(6)
# Ti3Bi4O12, single point on PBEsol structure, DFT meta-GGA SCAN
data_Ti3Bi4O12
_chemical_formula_sum 'Ti6 Bi8 O24'
_space_group_name_H-M_alt 'P 1'
_space_group_IT_number 1
_cell_length_a 33.127
_cell_length_b 3.842
_cell_length_c 3.842
_cell_angle_alpha 89.44
_cell_angle_beta 90.00
_cell_angle_gamma 90.00
loop_
_space_group_symop_operation_xyz
'x,y,z'
loop_
_atom_site_label
_atom_site_fract_x
_atom_site_fract_y
_atom_site_fract_z
Ti1 0.000 0.000 0.000
Ti2 0.129 0.026 0.983
Ti3 0.371 0.526 0.483
Ti4 0.500 0.500 0.500
Ti5 0.629 0.483 0.526
Ti6 0.871 0.983 0.026
Bi1 0.067 0.600 0.504
Bi2 0.212 0.544 0.597
Bi3 0.288 0.044 0.097
Bi4 0.433 0.100 0.004
Bi5 0.567 0.004 0.100
Bi6 0.712 0.097 0.044
Bi7 0.788 0.597 0.544
Bi8 0.933 0.504 0.600
O1 0.005 0.952 0.474
O2 0.059 0.944 0.972
O3 0.116 0.992 0.475
O4 0.118 0.503 0.960
O5 0.182 0.014 0.969
O6 0.250 0.033 0.563
O7 0.250 0.533 0.063
O8 0.318 0.514 0.469
O9 0.382 0.003 0.460
O10 0.384 0.492 0.975
O11 0.441 0.444 0.472
O12 0.495 0.452 0.974
O13 0.505 0.974 0.452
O14 0.559 0.472 0.444
O15 0.616 0.975 0.492
O16 0.618 0.460 0.003
O17 0.682 0.469 0.514
O18 0.750 0.063 0.533
O19 0.750 0.563 0.033
O20 0.818 0.969 0.014
O21 0.882 0.960 0.503
O22 0.884 0.475 0.992
O23 0.941 0.972 0.944
O24 0.995 0.474 0.952
# Distance to the lowest polymorph of the same formula in kJ/mol of formula units: 34
# Raw total energy in eV/atom: -25.206
# Magnetic moment in μB per formula unit: 0.00

(7)
# Y4Ti6Bi2O21, single point on PBEsol structure, DFT meta-GGA SCAN
data_Y4Ti6Bi2O21
_chemical_formula_sum 'Y8 Ti12 Bi4 O42'
_space_group_name_H-M_alt 'P 1'
_space_group_IT_number 1
_cell_length_a 16.017
_cell_length_b 16.017
_cell_length_c 7.140
_cell_angle_alpha 102.62
_cell_angle_beta 102.62
_cell_angle_gamma 25.94
loop_
_space_group_symop_operation_xyz
'x,y,z'
loop_
_atom_site_label
_atom_site_fract_x
_atom_site_fract_y
_atom_site_fract_z
Y1 0.000 0.500 0.000
Y2 0.164 0.668 0.667
Y3 0.167 0.167 0.667
Y4 0.332 0.836 0.333
Y5 0.500 0.000 0.000
Y6 0.668 0.164 0.667
Y7 0.833 0.833 0.333
Y8 0.836 0.332 0.333
Ti1 0.000 0.000 0.000
Ti2 0.000 0.000 0.500
Ti3 0.000 0.500 0.500
Ti4 0.165 0.667 0.169
Ti5 0.333 0.333 0.334
Ti6 0.333 0.333 0.834
Ti7 0.333 0.835 0.831
Ti8 0.500 0.000 0.500
Ti9 0.667 0.165 0.169
Ti10 0.667 0.667 0.166
Ti11 0.667 0.667 0.666
Ti12 0.835 0.333 0.831
Bi1 0.167 0.167 0.167
Bi2 0.500 0.500 0.000
Bi3 0.500 0.500 0.500
Bi4 0.833 0.833 0.833
O1 0.027 0.027 0.277
O2 0.087 0.496 0.337
O3 0.089 0.493 0.747
O4 0.111 0.111 0.855
O5 0.124 0.124 0.384
O6 0.158 0.757 0.005
O7 0.159 0.757 0.412
O8 0.170 0.579 0.331
O9 0.173 0.577 0.920
O10 0.210 0.210 0.951
O11 0.224 0.224 0.477
O12 0.243 0.841 0.588
O13 0.243 0.842 0.995
O14 0.307 0.307 0.058
O15 0.359 0.359 0.609
O16 0.421 0.830 0.669
O17 0.423 0.827 0.080
O18 0.441 0.441 0.193
O19 0.455 0.455 0.705
O20 0.493 0.089 0.747
O21 0.496 0.087 0.337
O22 0.504 0.913 0.663
O23 0.507 0.911 0.253
O24 0.545 0.545 0.295
O25 0.559 0.559 0.807
O26 0.577 0.173 0.920
O27 0.579 0.170 0.331
O28 0.641 0.641 0.391
O29 0.693 0.693 0.942
O30 0.757 0.158 0.005
O31 0.757 0.159 0.412
O32 0.776 0.776 0.523
O33 0.790 0.790 0.049
O34 0.827 0.423 0.080
O35 0.830 0.421 0.669
O36 0.841 0.243 0.588
O37 0.842 0.243 0.995
O38 0.876 0.876 0.616
O39 0.889 0.889 0.145
O40 0.911 0.507 0.253
O41 0.913 0.504 0.663
O42 0.973 0.973 0.723
# Raw total energy in eV/atom: -18.242
# Magnetic moment in μB per formula unit: 0.00

(8)
# TlBiW2O8, single point on PBEsol structure, DFT meta-GGA SCAN
data_TlBiW2O8
_chemical_formula_sum 'Tl2 Bi2 W4 O16'
_space_group_name_H-M_alt 'P 1'
_space_group_IT_number 1
_cell_length_a 7.608
_cell_length_b 7.608
_cell_length_c 7.529
_cell_angle_alpha 117.64
_cell_angle_beta 117.64
_cell_angle_gamma 89.35
loop_
_space_group_symop_operation_xyz
'x,y,z'
loop_
_atom_site_label
_atom_site_fract_x
_atom_site_fract_y
_atom_site_fract_z
Tl1 0.212 0.788 0.750
Tl2 0.788 0.212 0.250
Bi1 0.224 0.776 0.250
Bi2 0.776 0.224 0.750
W1 0.302 0.307 0.270
W2 0.307 0.302 0.770
W3 0.693 0.698 0.230
W4 0.698 0.693 0.730
O1 0.047 0.210 0.684
O2 0.069 0.385 0.134
O3 0.210 0.047 0.184
O4 0.245 0.376 0.554
O5 0.372 0.585 0.024
O6 0.376 0.245 0.054
O7 0.385 0.069 0.634
O8 0.415 0.628 0.476
O9 0.585 0.372 0.524
O10 0.615 0.931 0.366
O11 0.624 0.755 0.946
O12 0.628 0.415 0.976
O13 0.755 0.624 0.446
O14 0.790 0.953 0.816
O15 0.931 0.615 0.866
O16 0.953 0.790 0.316
# Raw total energy in eV/atom: -30.271
# Magnetic moment in μB per formula unit: 0.00